Here is a relaxed structure of K2SiAg from Alexandria via LeMat-Bulk. Energies are from PBE.

## Properties
The density of states at the Fermi level comes out at 1.9 states/eV/f.u. The value obtained for the spin magnetization is 0.000 μB/f.u. The calculation puts the uncorrected formation energy at 0.1073 eV/atom. Its space group is No. 44. The total energy comes out at -2.510 eV/atom.

a b c (Å): 4.2999 5.8439 10.4406
angles (deg): 90.00 90.00 90.00
Element x y z (fractional)
K 0.0000 0.0000 0.0000
K 0.0000 0.5000 0.1875
K 0.5000 0.0000 0.6875
K 0.5000 0.5000 0.5000
Si 0.0000 0.5000 0.7841
Si 0.5000 0.0000 0.2841
Ag 0.0000 0.0000 0.3911
Ag 0.5000 0.5000 0.8911